(1)
Here is an optimized crystal structure of Rb3Ce2O4F3 from the Alexandria database. Energies are from GGA-PBE.

It has space group Immm (No. 71), with a = 4.358 Å, b = 4.745 Å, c = 23.788 Å, α = 90.00°, β = 90.00° and γ = 90.00°. The inequivalent atoms are Rb at (0.000, 0.000, 0.000), Rb at (0.000, 0.000, 0.194), Ce at (0.000, 0.000, 0.397), O at (0.000, 0.000, 0.313), O at (0.000, 0.500, 0.094), F at (0.000, 0.000, 0.500) and F at (0.000, 0.500, 0.408).

The value obtained for the uncorrected formation energy is -2911 meV/atom. The value obtained for the total energy is -6.26 eV per atom.



(2)
Here is an optimized crystal structure of Sc4SnIr2 from the Alexandria database. Energies are from GGA-PBE.

It has space group Cmcm (No. 63), with a = 4.744 Å, b = 8.219 Å, c = 14.281 Å, α = 90.00°, β = 90.00° and γ = 90.00°. The inequivalent atoms are Sc at (0.000, 0.000, 0.000), Sc at (0.000, 0.333, 0.125), Sc at (0.000, 0.334, 0.750), Sn at (0.000, 0.001, 0.750) and Ir at (0.000, 0.333, 0.561).

The value obtained for the total energy is -7.47 eV per atom. For the energy relative to the elements, the calculation gives -505 kJ/mol of formula units.



(3)
Here is an optimized crystal structure of Tb5HoEr2Sc from the Alexandria database. Energies are from GGA-PBE.

It has space group Cmc2_1 (No. 36), with a = 5.510 Å, b = 19.914 Å, c = 10.338 Å, α = 90.00°, β = 90.00° and γ = 90.00°. The inequivalent atoms are Tb at (0.000, 0.017, 0.000), Tb at (0.000, 0.124, 0.279), Tb at (0.000, 0.200, 0.965), Tb at (0.000, 0.225, 0.579), Tb at (0.000, 0.483, 0.274), Ho at (0.000, 0.092, 0.717), Er at (0.000, 0.386, 0.997), Er at (0.000, 0.388, 0.569) and Sc at (0.000, 0.305, 0.274).

The value obtained for the total energy is -4.63 eV per atom. For the energy relative to the elements, the calculation gives 143 kJ/mol of formula units.